1.
A geometry-optimized Er6GeTe2Se3 structure. Source: Alexandria, functional GGA-PBE.

**D(E_F)**: 5.7 states/eV/f.u.
**M_tot**: 0.00 μB/cell
**Volume**: 25.4 Å³/atom
**Calculated density**: 8.53 g/cm³
**Formation energy from raw total energies**: -1.460 eV per atom

abc: 7.236 7.236 7.141
angles: 99.72 99.72 119.90
Fractional coordinates of all 12 atoms:
Er 0.086 0.391 0.760
Er 0.215 0.215 0.233
Er 0.391 0.086 0.760
Er 0.609 0.914 0.240
Er 0.785 0.785 0.767
Er 0.914 0.609 0.240
Ge 0.000 0.000 0.500
Te 0.336 0.664 0.500
Te 0.664 0.336 0.500
Se 0.177 0.823 0.000
Se 0.500 0.500 0.000
Se 0.823 0.177 0.000

2.
A geometry-optimized TmBiRu2 structure. Source: Alexandria, functional GGA-PBE.

**D(E_F)**: 1.3 states/eV/f.u.
**M_tot**: 0.00 μB/cell
**Volume**: 18.6 Å³/atom
**Calculated density**: 12.98 g/cm³
**Offset from the most stable computed form**: 50 meV/atom
**Formation enthalpy at 0 K**: -0.177 eV/atom

abc: 4.631 4.631 3.460
angles: 90.00 90.00 90.00
Fractional coordinates of all 4 atoms:
Tm 0.000 0.000 0.000
Bi 0.500 0.500 0.000
Ru 0.000 0.500 0.500
Ru 0.500 0.000 0.500

3.
A geometry-optimized LaY2BSb structure. Source: Alexandria, functional GGA-PBE.

**D(E_F)**: 2.9 states/eV/f.u.
**M_tot**: 0.00 μB/cell
**Volume**: 37.5 Å³/atom
**Calculated density**: 3.98 g/cm³
**Formation energy from raw total energies**: 0.862 eV per atom

abc: 5.614 5.614 5.950
angles: 90.00 90.00 90.00
Fractional coordinates of all 5 atoms:
La 0.000 0.000 0.000
Y 0.000 0.500 0.500
Y 0.500 0.000 0.500
B 0.500 0.500 0.000
Sb 0.000 0.000 0.500